Entry from the Alexandria database: a relaxed structure of CeThRh2 (PBE).

abc: 4.0836 3.8850 11.4283
angles: 90.00 90.00 90.00
Closest atoms and distances in Å follow each position.
Space group Pmc2_1 (No. 26)
One atom of each set of equivalent atoms:
Ce (0.0000, 0.2451, 0.0000) x2  5 Rh 2.85-3.07
Th (0.5000, 0.2550, 0.7270) x2  5 Rh 2.86-3.01
Rh (0.0000, 0.2451, 0.2684) x2  4 Th 2.86, 2 Rh 3.03, 1 Ce 3.07
Rh (0.5000, 0.2546, 0.4638) x2  4 Ce 2.85, 1 Th 3.01, 2 Rh 3.03

Calculated values
* ρ: 10.6 g cm⁻³
* energy relative to the elements: -0.86 eV per atom